No. 1
Nd5ThTl8: optimized geometry, PBE-GGA.

Cell lengths 9.4960, 9.4960, 9.5484 Å; angles 90.00, 90.00, 90.00 degrees
Closest atoms and distances in Å follow each position.
Space group I-4 (No. 82)
Unique sites:
Nd: 0.0000 0.0000 0.0000 (multiplicity 2)  8 Tl 3.29-3.30
Nd: 0.1268 0.7524 0.6237 (multiplicity 8)  8 Tl 3.27-3.31
Th: 0.0000 0.5000 0.2500 (multiplicity 2)  8 Tl 3.29-3.33
Tl: 0.0813 0.6664 0.9540 (multiplicity 8)  5 Nd 3.28-3.31, 1 Th 3.33, 3 Tl 3.52-3.60
Tl: 0.0841 0.8338 0.2924 (multiplicity 8)  5 Nd 3.27-3.30, 1 Th 3.29, 3 Tl 3.53-3.60

* M_tot: 0.000 Bohr magnetons per cell
* DFT formation energy: -251 meV/atom

***

No. 2
BeAsCCl: optimized geometry, PBE-GGA.

Cell lengths 3.1829, 3.1829, 7.0565 Å; angles 90.00, 90.00, 120.00 degrees
Closest atoms and distances in Å follow each position.
Space group P3m1 (No. 156)
Unique sites:
Be: 0.0000 0.0000 0.0000 (multiplicity 1)  3 Cl 2.11, 1 As 2.22
As: 0.0000 0.0000 0.6856 (multiplicity 1)  3 C 1.99, 1 Be 2.22
C: 0.3333 0.6667 0.5786 (multiplicity 1)  3 As 1.99
Cl: 0.6667 0.3333 0.1459 (multiplicity 1)  3 Be 2.11

* E_form (uncorrected): 288.2 meV per atom
* M_tot: 0.000 Bohr magnetons per cell
* offset from the most stable computed form: 398 meV per atom

***

No. 3
Pr6SnRu2Br3: optimized geometry, PBE-GGA.

Cell lengths 7.4031, 12.8493, 8.2142 Å; angles 90.00, 107.62, 90.00 degrees
Closest atoms and distances in Å follow each position.
Space group C2/m (No. 12)
Unique sites:
Pr: 0.1991 0.0000 0.2045 (multiplicity 4)  2 Ru 2.84, 1 Sn 3.17
Pr: 0.2477 0.1847 0.7955 (multiplicity 8)  2 Ru 2.84-2.85, 1 Sn 3.17
Sn: 0.0000 0.5000 0.0000 (multiplicity 2)  6 Pr 3.17
Ru: 0.0000 0.1667 0.0000 (multiplicity 4)  6 Pr 2.84-2.85
Br: 0.0000 0.0000 0.5000 (multiplicity 2)  6 Pr 3.20-3.49
Br: 0.0000 0.3363 0.5000 (multiplicity 4)  6 Pr 3.22-3.49

* E_form (uncorrected): -843.7 meV per atom
* M_tot: 0.000 Bohr magnetons per cell

***

No. 4
Rb2VAg: optimized geometry, PBE-GGA.

Cell lengths 8.6925, 8.6925, 8.6925 Å; angles 90.00, 90.00, 90.00 degrees
Closest atoms and distances in Å follow each position.
Space group Fm-3m (No. 225)
Unique sites:
Rb: 0.2500 0.2500 0.2500 (multiplicity 8)  4 V 3.76, 4 Ag 3.76
V: 0.0000 0.0000 0.0000 (multiplicity 4)  8 Rb 3.76
Ag: 0.0000 0.0000 0.5000 (multiplicity 4)  8 Rb 3.76

* M_tot: 17.329 Bohr magnetons per cell
* DFT formation energy: 991 meV/atom
* offset from the most stable computed form: 125 meV per atom

***

No. 5
Tc7Pt: optimized geometry, PBE-GGA.

Cell lengths 7.7697, 7.7697, 7.7697 Å; angles 90.00, 90.00, 90.00 degrees
Closest atoms and distances in Å follow each position.
Space group Fm-3m (No. 225)
Unique sites:
Tc: 0.0000 0.0000 0.0000 (multiplicity 4)  12 Tc 2.75
Tc: 0.0000 0.2500 0.2500 (multiplicity 24)  10 Tc 2.75, 2 Pt 2.75
Pt: 0.0000 0.0000 0.5000 (multiplicity 4)  12 Tc 2.75

* M_tot: 0.000 Bohr magnetons per cell
* DFT formation energy: -19 meV/atom

***

No. 6
SmErHgGe: optimized geometry, PBE-GGA.

Cell lengths 7.3282, 7.3282, 7.3282 Å; angles 90.00, 90.00, 90.00 degrees
Closest atoms and distances in Å follow each position.
Space group F-43m (No. 216)
Unique sites:
Sm: 0.0000 0.0000 0.0000 (multiplicity 4)  4 Hg 3.17, 4 Ge 3.17
Er: 0.0000 0.0000 0.5000 (multiplicity 4)  4 Ge 3.17, 4 Hg 3.17
Hg: 0.2500 0.2500 0.7500 (multiplicity 4)  4 Er 3.17, 4 Sm 3.17
Ge: 0.2500 0.2500 0.2500 (multiplicity 4)  4 Er 3.17, 4 Sm 3.17

* M_tot: 0.000 Bohr magnetons per cell
* DFT formation energy: -547 meV/atom

***

No. 7
LaB3Sb: optimized geometry, PBE-GGA.

Cell lengths 4.4853, 4.4853, 4.4853 Å; angles 90.00, 90.00, 90.00 degrees
Closest atoms and distances in Å follow each position.
Space group Pm-3m (No. 221)
Unique sites:
La: 0.0000 0.0000 0.0000 (multiplicity 1)  12 B 3.17
B: 0.0000 0.5000 0.5000 (multiplicity 3)  2 Sb 2.24
Sb: 0.5000 0.5000 0.5000 (multiplicity 1)  6 B 2.24

* E_form (uncorrected): 1248.8 meV per atom
* M_tot: 0.000 Bohr magnetons per cell
* offset from the most stable computed form: 0 meV per atom

***

No. 8
RbLi2Re: optimized geometry, PBE-GGA.

Cell lengths 8.0303, 8.0303, 6.7657 Å; angles 90.00, 90.00, 90.00 degrees
Closest atoms and distances in Å follow each position.
Space group I-42d (No. 122)
Unique sites:
Rb: 0.0000 0.0000 0.0000 (multiplicity 4)  8 Li 3.29-3.59, 2 Re 3.38
Li: 0.1928 0.2500 0.6250 (multiplicity 8)  2 Re 2.67
Re: 0.0000 0.0000 0.5000 (multiplicity 4)  4 Li 2.67

* M_tot: 11.830 Bohr magnetons per cell
* DFT formation energy: 1447 meV/atom
* offset from the most stable computed form: 87 meV per atom

***

No. 9
Li2Bi3Pd2: optimized geometry, PBE-GGA.

Cell lengths 6.1479, 9.8418, 5.0772 Å; angles 90.00, 95.83, 90.00 degrees
Closest atoms and distances in Å follow each position.
Space group P2_1/c (No. 14)
Unique sites:
Li: 0.1444 0.1733 0.4593 (multiplicity 4)  2 Pd 2.64-2.71, 1 Bi 2.95, 2 Li 2.95
Bi: 0.0000 0.0000 0.0000 (multiplicity 2)  2 Li 2.95, 2 Pd 2.99
Bi: 0.3402 0.6244 0.0650 (multiplicity 4)  4 Pd 2.83-3.03, 1 Li 3.01
Pd: 0.4242 0.1286 0.8990 (multiplicity 4)  2 Li 2.64-2.71, 3 Bi 2.83-2.95, 1 Pd 2.85

* M_tot: 0.000 Bohr magnetons per cell
* DFT formation energy: -313 meV/atom

***

No. 10
TaIn2Au: optimized geometry, PBE-GGA.

Cell lengths 3.0058, 3.0058, 9.3204 Å; angles 90.00, 90.00, 90.00 degrees
Closest atoms and distances in Å follow each position.
Space group P4mm (No. 99)
Unique sites:
Ta: 0.0000 0.0000 0.0000 (multiplicity 1)  4 Au 2.89, 4 Ta 3.01, 4 In 3.04
In: 0.0000 0.0000 0.4670 (multiplicity 1)  4 In 3.01, 4 Au 3.20
In: 0.5000 0.5000 0.7664 (multiplicity 1)  4 In 3.01, 4 Ta 3.04
Au: 0.5000 0.5000 0.2104 (multiplicity 1)  4 Ta 2.89, 4 Au 3.01, 4 In 3.20

* M_tot: 0.000 Bohr magnetons per cell
* DFT formation energy: 107 meV/atom
* offset from the most stable computed form: 37 meV per atom

***

No. 11
Cs3Pr3InSe8: optimized geometry, PBE-GGA.

Cell lengths 14.9916, 8.6531, 9.9543 Å; angles 90.00, 120.13, 90.00 degrees
Closest atoms and distances in Å follow each position.
Space group C2/m (No. 12)
Unique sites:
Cs: 0.0000 0.0000 0.0000 (multiplicity 2)  6 Se 3.64-3.66
Cs: 0.2500 0.2500 0.0000 (multiplicity 4)  6 Se 3.65-3.66
Pr: 0.0000 0.5000 0.5000 (multiplicity 2)  6 Se 3.00
Pr: 0.2500 0.2500 0.5000 (multiplicity 4)  6 Se 2.99-3.01
In: 0.0000 0.0000 0.5000 (multiplicity 2)  6 Se 2.86-2.87
Se: 0.0178 0.2392 0.3156 (multiplicity 8)  1 In 2.87, 2 Pr 3.00-3.01
Se: 0.2199 0.0000 0.6834 (multiplicity 4)  1 In 2.86, 2 Pr 3.01
Se: 0.2313 0.5000 0.6921 (multiplicity 4)  3 Pr 2.99-3.00

* E_form (uncorrected): -1392.6 meV per atom
* M_tot: 0.001 Bohr magnetons per cell

***

No. 12
Hf4NbSn: optimized geometry, PBE-GGA.

Cell lengths 4.6425, 4.6425, 6.9493 Å; angles 90.00, 90.00, 90.00 degrees
Closest atoms and distances in Å follow each position.
Space group P4/mmm (No. 123)
Unique sites:
Hf: 0.0000 0.5000 0.2298 (multiplicity 4)  2 Nb 2.82, 2 Sn 2.99
Nb: 0.0000 0.0000 0.0000 (multiplicity 1)  8 Hf 2.82
Sn: 0.5000 0.5000 0.5000 (multiplicity 1)  8 Hf 2.99

* M_tot: 0.000 Bohr magnetons per cell
* DFT formation energy: 312 meV/atom

***

Q: Which value of M_tot does entry 2 give?
A: 0.000 Bohr magnetons per cell